# 1
K2HgAs2H2 after structural relaxation. Source: Alexandria via LeMat-Bulk, functional PBE-GGA.

Calculated values
- Raw total energy: -2.8607 eV/atom
- Magnetic moment: 0.0 μB per formula unit
- Crystal system: triclinic
- Fermi-level density of states: 0.00 states/eV per atom

Unit cell a=5.556 b=6.120 c=6.681 alpha=65.84 beta=75.57 gamma=68.63
Space group P-1 (No. 2)
Asymmetric unit:
1 K 0.189 0.243 0.258
2 Hg 0.500 0.500 0.500
3 As 0.100 0.132 0.821
4 H 0.367 0.019 0.912

***

# 2
Li2HgAs2H2 after structural relaxation. Source: Alexandria via LeMat-Bulk, functional PBE-GGA.

Calculated values
- Raw total energy: -2.9590 eV/atom
- Magnetic moment: 0.0 μB per formula unit
- Crystal system: monoclinic
- Fermi-level density of states: 0.14 states/eV per atom

Unit cell a=9.140 b=3.688 c=8.079 alpha=90.00 beta=116.16 gamma=90.00
Space group C2/m (No. 12)
Asymmetric unit:
1 Li 0.159 0.000 0.337
2 Hg 0.000 0.500 0.000
3 As 0.118 0.000 0.657
4 H 0.119 0.500 0.647

***

# 3
Na2HgAsH after structural relaxation. Source: Alexandria via LeMat-Bulk, functional PBE-GGA.

Calculated values
- Raw total energy: -2.3243 eV/atom
- Magnetic moment: 0.0 μB per formula unit
- Crystal system: tetragonal
- Fermi-level density of states: 0.14 states/eV per atom

Unit cell a=5.354 b=5.354 c=3.539 alpha=90.00 beta=90.00 gamma=90.00
Space group P4/mmm (No. 123)
Asymmetric unit:
1 Na 0.000 0.500 0.000
2 Hg 0.000 0.000 0.500
3 As 0.500 0.500 0.500
4 H 0.500 0.500 0.000

***

# 4
Na2HgAsH after structural relaxation. Source: Alexandria via LeMat-Bulk, functional PBE-GGA.

Calculated values
- Raw total energy: -2.2899 eV/atom
- Magnetic moment: 0.0 μB per formula unit
- Crystal system: tetragonal
- Fermi-level density of states: 0.14 states/eV per atom

Unit cell a=4.331 b=4.331 c=4.838 alpha=90.00 beta=90.00 gamma=90.00
Space group P4/mmm (No. 123)
Asymmetric unit:
1 Na 0.000 0.500 0.000
2 Hg 0.000 0.000 0.500
3 As 0.500 0.500 0.500
4 H 0.000 0.000 0.000

***

# 5
NbHgAs2H after structural relaxation. Source: Alexandria via LeMat-Bulk, functional PBE-GGA.

Calculated values
- Raw total energy: -3.9139 eV/atom
- Magnetic moment: 1.3 μB per formula unit
- Crystal system: tetragonal
- Fermi-level density of states: 0.76 states/eV per atom

Unit cell a=5.233 b=5.233 c=3.375 alpha=90.00 beta=90.00 gamma=90.00
Space group P4/mmm (No. 123)
Asymmetric unit:
1 Nb 0.000 0.000 0.000
2 Hg 0.500 0.500 0.500
3 As 0.000 0.500 0.500
4 H 0.500 0.500 0.000

***

# 6
Nb2HgAsH after structural relaxation. Source: Alexandria via LeMat-Bulk, functional PBE-GGA.

Calculated values
- Raw total energy: -5.1231 eV/atom
- Magnetic moment: 0.0 μB per formula unit
- Crystal system: tetragonal
- Fermi-level density of states: 0.75 states/eV per atom

Unit cell a=5.142 b=5.142 c=3.235 alpha=90.00 beta=90.00 gamma=90.00
Space group P4/mmm (No. 123)
Asymmetric unit:
1 Nb 0.000 0.500 0.000
2 Hg 0.000 0.000 0.500
3 As 0.500 0.500 0.000
4 H 0.500 0.500 0.500

***

# 7
Hg3As2H2O8 after structural relaxation. Source: Alexandria via LeMat-Bulk, functional PBE-GGA.

Calculated values
- Raw total energy: -4.6539 eV/atom
- Magnetic moment: 0.0 μB per formula unit
- Crystal system: monoclinic
- Fermi-level density of states: 0.00 states/eV per atom

Unit cell a=13.378 b=8.929 c=9.676 alpha=90.00 beta=127.36 gamma=90.00
Space group C2/c (No. 15)
Asymmetric unit:
1 Hg 0.000 0.224 0.250
2 Hg 0.066 0.331 0.918
3 As 0.207 0.070 0.639
4 H 0.163 0.037 0.842
5 O 0.121 0.010 0.713
6 O 0.133 0.233 0.521
7 O 0.142 0.382 0.188
8 O 0.205 0.071 0.019

***

# 8
HgAs2HO6 after structural relaxation. Source: Alexandria via LeMat-Bulk, functional PBE-GGA.

Calculated values
- Raw total energy: -5.1818 eV/atom
- Magnetic moment: 0.0 μB per formula unit
- Crystal system: monoclinic

Unit cell a=12.362 b=9.883 c=4.837 alpha=90.00 beta=106.16 gamma=90.00
Space group C2/c (No. 15)
Asymmetric unit:
1 Hg 0.000 0.081 0.250
2 As 0.169 0.393 0.611
3 H 0.000 0.295 0.750
4 O 0.064 0.280 0.605
5 O 0.135 0.447 0.244
6 O 0.198 0.152 0.241

***

# 9
ZnHgAsHO5 after structural relaxation. Source: Alexandria via LeMat-Bulk, functional PBE-GGA.

Calculated values
- Raw total energy: -4.8829 eV/atom
- Magnetic moment: 0.0 μB per formula unit
- Crystal system: orthorhombic

Unit cell a=7.794 b=6.419 c=8.826 alpha=90.00 beta=90.00 gamma=90.00
Space group Pnma (No. 62)
Asymmetric unit:
1 Zn 0.000 0.000 0.000
2 Hg 0.113 0.250 0.327
3 As 0.144 0.250 0.681
4 H 0.241 0.750 0.546
5 O 0.017 0.750 0.458
6 O 0.130 0.025 0.787
7 O 0.139 0.250 0.083
8 O 0.170 0.750 0.073

***

# 10
Rb2HgAsH after structural relaxation. Source: Alexandria via LeMat-Bulk, functional PBE-GGA.

Calculated values
- Raw total energy: -2.1869 eV/atom
- Magnetic moment: 0.1 μB per formula unit
- Crystal system: tetragonal
- Fermi-level density of states: 0.31 states/eV per atom

Unit cell a=6.223 b=6.223 c=3.816 alpha=90.00 beta=90.00 gamma=90.00
Space group P4/mmm (No. 123)
Asymmetric unit:
1 Rb 0.000 0.500 0.000
2 Hg 0.000 0.000 0.500
3 As 0.500 0.500 0.500
4 H 0.500 0.500 0.000

***

# 11
RbHgAsH after structural relaxation. Source: Alexandria via LeMat-Bulk, functional PBE-GGA.

Calculated values
- Raw total energy: -2.4610 eV/atom
- Magnetic moment: 0.0 μB per formula unit
- Crystal system: trigonal
- Fermi-level density of states: 0.49 states/eV per atom

Unit cell a=5.2442 b=5.2442 c=4.5080 alpha=90.00 beta=90.00 gamma=120.00
Space group P3m1 (No. 156)
Asymmetric unit:
1 Rb 0.0000 0.0000 0.0000
2 Hg 0.3333 0.6667 0.5178
3 As 0.6667 0.3333 0.4654
4 H 0.6667 0.3333 0.8096

***

# 12
ReHgAsH after structural relaxation. Source: Alexandria via LeMat-Bulk, functional PBE-GGA.

Calculated values
- Raw total energy: -4.9218 eV/atom
- Magnetic moment: 0.0 μB per formula unit
- Crystal system: tetragonal
- Fermi-level density of states: 0.48 states/eV per atom

Unit cell a=3.217 b=3.217 c=5.888 alpha=90.00 beta=90.00 gamma=90.00
Space group P4mm (No. 99)
Asymmetric unit:
1 Re 0.000 0.000 0.000
2 Hg 0.500 0.500 0.659
3 As 0.500 0.500 0.197
4 H 0.000 0.000 0.281

***

The lowest raw total energy belongs to which entry? HgAs2HO6